(1)
# LaAgP2S PBE relaxed
# - formation energy from raw total energies (eV per atom) = 0.64
data_LaAgP2S
_symmetry_space_group_name_H-M 'P 4/m m m'
_symmetry_Int_Tables_number 123
_symmetry_space_group_name_Hall '-P 4 2'
_cell_length_a 5.605
_cell_length_b 5.605
_cell_length_c 5.450
_cell_angle_alpha 90.00
_cell_angle_beta 90.00
_cell_angle_gamma 90.00
loop_
_atom_site_label
_atom_site_fract_x
_atom_site_fract_y
_atom_site_fract_z
La1 0.000 0.000 0.000
Ag1 0.500 0.500 0.500
P1 0.000 0.500 0.000
S1 0.000 0.000 0.500

***

(2)
# LaAgP2S PBE relaxed
# - formation energy from raw total energies (eV per atom) = -0.12
data_LaAgP2S
_symmetry_space_group_name_H-M 'P 4/m m m'
_symmetry_Int_Tables_number 123
_symmetry_space_group_name_Hall '-P 4 2'
_cell_length_a 4.765
_cell_length_b 4.765
_cell_length_c 4.962
_cell_angle_alpha 90.00
_cell_angle_beta 90.00
_cell_angle_gamma 90.00
loop_
_atom_site_label
_atom_site_fract_x
_atom_site_fract_y
_atom_site_fract_z
La1 0.000 0.000 0.000
Ag1 0.500 0.500 0.500
P1 0.000 0.500 0.500
S1 0.500 0.500 0.000

***

(3)
# La2VAgP PBE relaxed
# - energy of formation from the pure elements (eV/atom) = -0.26
data_La2VAgP
_symmetry_space_group_name_H-M 'P 4/m m m'
_symmetry_Int_Tables_number 123
_symmetry_space_group_name_Hall '-P 4 2'
_cell_length_a 5.662
_cell_length_b 5.662
_cell_length_c 4.450
_cell_angle_alpha 90.00
_cell_angle_beta 90.00
_cell_angle_gamma 90.00
loop_
_atom_site_label
_atom_site_fract_x
_atom_site_fract_y
_atom_site_fract_z
La1 0.000 0.500 0.000
V1 0.000 0.000 0.500
Ag1 0.500 0.500 0.500
P1 0.000 0.000 0.000

***

(4)
# LaZrAgP2 PBE relaxed
# - energy of formation from the pure elements (eV/atom) = 1.27
data_LaZrAgP2
_symmetry_space_group_name_H-M 'P 4/m m m'
_symmetry_Int_Tables_number 123
_symmetry_space_group_name_Hall '-P 4 2'
_cell_length_a 5.365
_cell_length_b 5.365
_cell_length_c 5.509
_cell_angle_alpha 90.00
_cell_angle_beta 90.00
_cell_angle_gamma 90.00
loop_
_atom_site_label
_atom_site_fract_x
_atom_site_fract_y
_atom_site_fract_z
La1 0.000 0.000 0.000
Zr1 0.000 0.000 0.500
Ag1 0.500 0.500 0.500
P1 0.000 0.500 0.000

***

(5)
# LaPaAg PBE relaxed
# - energy of formation from the pure elements (eV/atom) = 0.16
data_LaPaAg
_symmetry_space_group_name_H-M 'P 6/m m m'
_symmetry_Int_Tables_number 191
_symmetry_space_group_name_Hall '-P 6 2'
_cell_length_a 5.0840
_cell_length_b 5.0840
_cell_length_c 7.1800
_cell_angle_alpha 90.00
_cell_angle_beta 90.00
_cell_angle_gamma 120.00
loop_
_atom_site_label
_atom_site_fract_x
_atom_site_fract_y
_atom_site_fract_z
La1 0.0000 0.0000 0.2335
Pa1 0.3333 0.6667 0.5000
Ag1 0.3333 0.6667 0.0000

***

(6)
# La2PaAg PBE relaxed
# - energy of formation from the pure elements (eV/atom) = 0.00
data_La2PaAg
_symmetry_space_group_name_H-M 'P 4/m m m'
_symmetry_Int_Tables_number 123
_symmetry_space_group_name_Hall '-P 4 2'
_cell_length_a 3.488
_cell_length_b 3.488
_cell_length_c 9.222
_cell_angle_alpha 90.00
_cell_angle_beta 90.00
_cell_angle_gamma 90.00
loop_
_atom_site_label
_atom_site_fract_x
_atom_site_fract_y
_atom_site_fract_z
La1 0.000 0.000 0.239
Pa1 0.500 0.500 0.500
Ag1 0.500 0.500 0.000